Compound: Pr3AlFeS7
Source: the Alexandria database
Functional: SCAN
Structure: single point on PBEsol structure

CIF file:
```
data_Pr3AlFeS7
_chemical_formula_sum 'Pr6 Al2 Fe2 S14'
_space_group_name_H-M_alt 'P 63'
_space_group_IT_number 173
_space_group_name_Hall 'P 6c'
_cell_length_a 9.9955
_cell_length_b 9.9955
_cell_length_c 5.8929
_cell_angle_alpha 90.00
_cell_angle_beta 90.00
_cell_angle_gamma 120.00
loop_
_atom_site_label
_atom_site_fract_x
_atom_site_fract_y
_atom_site_fract_z
Pr1 0.1426 0.3733 0.0000
Al1 0.3333 0.6667 0.4193
Fe1 0.0000 0.0000 0.2828
S1 0.0901 0.2332 0.5405
S2 0.0959 0.5789 0.2738
S3 0.3333 0.6667 0.7928
```

Computed properties:
Its uncorrected formation energy is -1845 meV per atom. Its total magnetization is 4.000 μB/f.u.